DFT (PBE-GGA) results for KBeSe2 after structural relaxation.

Cell: 8.087 8.087 8.087 Å, 157.97 152.31 35.66°
Positions (direct):
K 0.000 0.000 0.000
Be 0.745 0.245 0.500
Se 0.329 0.829 0.500
Se 0.638 0.638 0.000

Output
- E_form (uncorrected): -0.34 eV/atom
- D(E_F): 0.186 states/eV/atom
- Symmetry: Imm2 (44)